# 1
# UTaAs2Ru5

A relaxed UTaAs2Ru5 crystal (GGA-PBE, Alexandria).

Cell and atoms, written as POSCAR:
```
UTaAs2Ru5
1.0
4.081 0.000 0.000
0.000 4.081 0.000
0.000 0.000 8.778
U Ta As Ru
1 1 2 5
Cartesian
0.000 0.000 0.000
0.000 0.000 4.389
2.041 2.041 1.241
2.041 2.041 7.538
0.000 2.041 2.519
2.041 0.000 2.519
0.000 2.041 6.259
2.041 0.000 6.259
2.041 2.041 4.389
```

V: 146 Å³ per cell
final energy: -9.0905 eV/atom
formation energy: -333 meV/atom
total magnetization: 1.2 μB/cell

---

# 2
# Ce2ThCu6

A relaxed Ce2ThCu6 crystal (GGA-PBE, Alexandria).

Cell and atoms, written as POSCAR:
```
Ce2ThCu6
1.0
-1.783 2.075 -2.027
-2.440 -5.991 -3.987
-3.974 2.446 5.998
Ce Th Cu
2 1 6
Cartesian
-3.462 -0.367 2.669
-4.734 -1.104 -2.686
0.000 0.000 0.000
-3.037 -0.148 -0.341
-5.159 -1.322 0.324
-3.536 2.665 2.978
-6.489 -0.504 2.331
-1.708 -0.967 -2.348
-2.221 1.856 0.993
```

V: 170 Å³ per cell
final energy: -5.0314 eV/atom
formation energy: -158 meV/atom
total magnetization: 0.5 μB/cell

---

# 3
# AgPtCl2

A relaxed AgPtCl2 crystal (GGA-PBE, Alexandria).

Cell and atoms, written as POSCAR:
```
AgPtCl2
1.0
4.577 0.000 0.000
0.000 4.680 -0.140
0.000 2.167 4.185
Ag Pt Cl
1 1 2
Cartesian
2.288 4.924 2.917
0.000 3.153 1.858
0.000 6.413 3.786
2.288 2.627 1.552
```

V: 91 Å³ per cell
final energy: -3.1420 eV/atom
offset from the most stable computed form: 128 meV/atom
ΔE_f (raw): 0.00 eV per atom
total magnetization: 0.0 μB/cell

---

# 4
# NbZn2Ge

A relaxed NbZn2Ge crystal (GGA-PBE, Alexandria).

Cell and atoms, written as POSCAR:
```
NbZn2Ge
1.0
-0.107 -4.099 5.978
7.184 0.735 0.633
3.192 0.453 4.763
Zn Nb Ge
4 2 2
Cartesian
1.631 -2.267 4.875
5.272 -0.030 2.465
5.205 -0.906 6.065
8.428 -2.620 9.342
0.000 0.000 0.000
3.311 -2.664 7.023
3.538 -1.682 3.305
6.957 -0.247 4.350
```

V: 137 Å³ per cell
final energy: -4.1542 eV/atom
formation energy: 155 meV/atom
total magnetization: 0.0 μB/cell

---

# 5
# NdHoAgPd

A relaxed NdHoAgPd crystal (GGA-PBE, Alexandria).

Cell and atoms, written as POSCAR:
```
NdHoAgPd
1.0
3.602 0.000 0.000
0.000 3.602 0.000
0.000 0.000 7.336
Nd Ho Ag Pd
1 1 1 1
Cartesian
1.801 1.801 0.862
1.801 1.801 4.361
0.000 0.000 6.141
0.000 0.000 2.779
```

V: 95 Å³ per cell
final energy: -4.9000 eV/atom
offset from the most stable computed form: 0 meV/atom
formation energy: -553 meV/atom
total magnetization: 0.0 μB/cell

---

# 6
# Sr3MgTl2

A relaxed Sr3MgTl2 crystal (GGA-PBE, Alexandria).

Cell and atoms, written as POSCAR:
```
Sr3MgTl2
1.0
4.162 0.000 0.000
0.000 5.497 -1.820
0.000 -0.014 9.169
Sr Mg Tl
3 1 2
Cartesian
2.081 2.748 -0.910
2.081 4.548 4.526
2.081 0.935 2.824
0.000 0.000 0.000
0.000 1.854 5.600
4.162 3.629 1.750
```

V: 210 Å³ per cell
final energy: -2.2020 eV/atom
offset from the most stable computed form: 4 meV/atom
formation energy: -307 meV/atom
total magnetization: 0.0 μB/cell

---

# 7
# Pr6Sm2Tm3Mg

A relaxed Pr6Sm2Tm3Mg crystal (GGA-PBE, Alexandria).

Cell and atoms, written as POSCAR:
```
Pr6Sm2Tm3Mg
1.0
6.264 -0.003 -0.008
-3.133 5.424 -0.008
-1.031 -1.785 11.683
Pr Sm Tm Mg
6 2 3 1
Cartesian
3.136 1.836 8.721
2.094 3.625 2.945
-1.037 1.800 2.945
0.023 3.634 8.721
0.006 0.010 8.721
2.077 0.001 2.945
-0.003 3.616 -0.008
3.134 1.805 -0.008
-2.087 3.629 5.833
4.186 0.006 5.833
1.050 1.818 5.833
0.000 0.000 0.000
```

V: 397 Å³ per cell
final energy: -4.4114 eV/atom
formation energy: 16 meV/atom
total magnetization: 0.0 μB/cell

---

# 8
# B5C7

A relaxed B5C7 crystal (GGA-PBE, Alexandria).

Cell and atoms, written as POSCAR:
```
B5C7
1.0
3.920 -0.004 -5.467
-0.579 2.592 -6.794
0.409 -0.057 7.283
B C
5 7
Cartesian
0.146 0.822 2.634
0.644 0.254 5.752
3.296 2.519 -11.921
2.262 2.512 -5.393
1.910 2.124 -3.507
2.451 0.706 -2.813
1.927 0.408 -1.448
0.264 2.019 -3.531
3.562 1.725 -7.709
2.416 1.574 -0.479
2.028 1.272 0.951
0.595 1.138 1.150
```

V: 78 Å³ per cell
final energy: -7.8267 eV/atom
offset from the most stable computed form: 78 meV/atom
formation energy: 336 meV/atom
total magnetization: 0.0 μB/cell

---

# 9
# CdSb2Pt

A relaxed CdSb2Pt crystal (GGA-PBE, Alexandria).

Cell and atoms, written as POSCAR:
```
CdSb2Pt
1.0
5.041 0.000 0.000
2.520 4.366 0.000
2.520 1.455 4.116
Sb Pt Cd
2 1 1
Cartesian
0.000 0.000 0.000
2.520 1.455 1.029
7.561 4.366 3.087
5.041 2.910 2.058
```

V: 91 Å³ per cell
final energy: -3.6246 eV/atom
ΔE_f (raw): 0.18 eV per atom
total magnetization: 0.0 μB/cell

---

# 10
# GaS2N

A relaxed GaS2N crystal (GGA-PBE, Alexandria).

Cell and atoms, written as POSCAR:
```
GaS2N
1.0
2.329 0.000 5.816
-1.164 2.017 5.816
-1.164 -2.017 5.816
S Ga N
2 1 1
Cartesian
0.000 0.000 15.886
0.000 0.000 1.561
0.000 0.000 8.724
0.000 0.000 0.000
```

V: 82 Å³ per cell
final energy: -4.4590 eV/atom
offset from the most stable computed form: 0 meV/atom
ΔE_f (raw): 0.44 eV per atom
total magnetization: 0.0 μB/cell

---

# 11
# Li2PaS3

A relaxed Li2PaS3 crystal (GGA-PBE, Alexandria).

Cell and atoms, written as POSCAR:
```
Li2PaS3
1.0
4.344 0.000 0.000
0.000 7.529 -0.605
0.000 -2.496 7.129
Li Pa S
4 2 6
Cartesian
0.000 0.992 1.286
2.172 0.992 1.286
0.000 4.042 5.239
2.172 4.042 5.239
1.086 0.004 5.201
3.258 5.029 1.324
3.258 -1.423 6.302
3.258 0.064 3.194
1.086 3.073 0.872
3.258 1.961 5.652
1.086 4.970 3.331
1.086 6.457 0.222
```

V: 227 Å³ per cell
final energy: -5.5567 eV/atom
offset from the most stable computed form: 201 meV/atom
ΔE_f (raw): -1.27 eV per atom
total magnetization: 2.0 μB/cell

---

# 12
# Nd5Ho2

A relaxed Nd5Ho2 crystal (GGA-PBE, Alexandria).

Cell and atoms, written as POSCAR:
```
Nd5Ho2
1.0
-4.046 -4.878 0.647
6.339 -4.563 5.248
-1.469 6.162 5.913
Nd Ho
10 4
Cartesian
1.276 -1.892 4.291
-0.939 4.129 4.464
2.977 -0.170 7.007
2.350 -3.782 7.211
-2.154 -3.108 4.800
-1.526 0.504 4.596
1.763 -7.407 7.343
-0.453 -1.387 7.516
-1.780 -5.197 1.850
4.073 -4.244 4.045
0.155 2.210 7.313
-1.169 -1.601 1.657
0.668 -5.488 4.494
1.993 -1.677 10.150
```

V: 481 Å³ per cell
final energy: -4.6857 eV/atom
offset from the most stable computed form: 0 meV/atom
formation energy: 28 meV/atom
total magnetization: 0.0 μB/cell

---

# 13
# Li6YTl6

A relaxed Li6YTl6 crystal (GGA-PBE, Alexandria).

Cell and atoms, written as POSCAR:
```
Li6YTl6
1.0
5.436 0.000 2.374
2.534 6.842 1.609
-0.022 -0.389 7.461
Li Y Tl
6 1 6
Cartesian
1.267 3.421 0.804
3.985 3.421 1.991
-0.011 -0.195 3.731
2.707 -0.195 4.918
4.640 5.111 4.196
3.308 1.342 7.247
0.000 0.000 0.000
3.501 4.270 6.805
4.447 2.183 4.639
0.842 2.055 5.483
1.670 4.397 3.587
2.206 1.130 2.359
5.742 5.323 9.084
```

V: 279 Å³ per cell
final energy: -2.7009 eV/atom
formation energy: -228 meV/atom
total magnetization: 0.0 μB/cell

---

# 14
# ZnTe2Os

A relaxed ZnTe2Os crystal (GGA-PBE, Alexandria).

Cell and atoms, written as POSCAR:
```
ZnTe2Os
1.0
-0.146 1.841 4.605
-3.430 -3.367 1.238
2.333 -2.048 0.893
Os Te Zn
1 2 1
Cartesian
-0.549 -2.708 1.065
0.000 0.000 0.000
-1.788 -0.763 2.922
1.094 -0.103 2.749
```

V: 80 Å³ per cell
final energy: -3.9905 eV/atom
ΔE_f (raw): 0.71 eV per atom
total magnetization: 0.0 μB/cell

---

# 15
# Ac4LaTl

A relaxed Ac4LaTl crystal (GGA-PBE, Alexandria).

Cell and atoms, written as POSCAR:
```
Ac4LaTl
1.0
9.324 -1.483 0.000
-5.122 7.931 0.000
-2.101 -3.224 8.621
Ac La Tl
8 2 2
Cartesian
-4.231 4.990 6.269
2.900 0.292 6.350
3.713 2.110 1.959
-3.465 6.736 2.040
-1.670 1.025 6.663
0.339 4.257 6.581
6.318 -1.936 2.271
-0.949 2.852 2.352
1.123 1.723 0.000
-3.539 2.465 4.311
3.241 4.973 0.000
3.701 -2.215 4.311
```

V: 572 Å³ per cell
final energy: -3.6175 eV/atom
offset from the most stable computed form: 433 meV/atom
formation energy: 337 meV/atom
total magnetization: 0.0 μB/cell

---

# 16
# TcMoRh2

A relaxed TcMoRh2 crystal (GGA-PBE, Alexandria).

Cell and atoms, written as POSCAR:
```
TcMoRh2
1.0
-2.120 -2.870 2.576
-3.551 -1.079 -4.125
4.676 -2.929 0.586
Tc Mo Rh
2 2 4
Cartesian
-0.365 -4.305 0.542
-0.630 -2.572 -1.505
-4.440 -3.389 -1.791
3.445 -3.488 0.828
-2.666 -2.860 0.258
-2.109 -4.841 -1.491
1.671 -4.018 -1.222
1.114 -2.036 0.528
```

V: 116 Å³ per cell
final energy: -9.1786 eV/atom
offset from the most stable computed form: 6 meV/atom
formation energy: -204 meV/atom
total magnetization: 0.0 μB/cell

---

# 17
# LaCuAg2H

A relaxed LaCuAg2H crystal (GGA-PBE, Alexandria).

Cell and atoms, written as POSCAR:
```
LaCuAg2H
1.0
5.713 0.000 0.000
0.000 4.054 0.000
0.000 0.000 5.713
H Cu Ag La
1 1 2 1
Cartesian
0.000 2.027 0.000
2.856 2.027 2.856
0.000 0.000 2.856
2.856 0.000 0.000
0.000 0.000 0.000
```

V: 132 Å³ per cell
final energy: -2.8621 eV/atom
total magnetization: 0.0 μB/cell

---

# 18
# AgSbOs2

A relaxed AgSbOs2 crystal (GGA-PBE, Alexandria).

Cell and atoms, written as POSCAR:
```
AgSbOs2
1.0
-0.760 0.017 3.958
1.962 -0.703 3.450
2.072 6.961 1.238
Sb Os Ag
1 2 1
Cartesian
1.683 3.337 4.284
3.178 5.959 8.581
2.543 5.011 6.524
0.781 1.383 2.223
```

V: 79 Å³ per cell
final energy: -6.6908 eV/atom
ΔE_f (raw): 0.67 eV per atom
total magnetization: 0.0 μB/cell

---

# 19
# BeCrMoOs

A relaxed BeCrMoOs crystal (GGA-PBE, Alexandria).

Cell and atoms, written as POSCAR:
```
BeCrMoOs
1.0
4.211 0.000 0.000
2.105 3.646 0.000
2.105 1.215 3.438
Cr Mo Os Be
1 1 1 1
Cartesian
2.105 1.215 0.859
4.211 2.431 1.719
6.316 3.646 2.578
0.000 0.000 0.000
```

V: 53 Å³ per cell
final energy: -8.7964 eV/atom
formation energy: 56 meV/atom
total magnetization: 2.0 μB/cell

---

# 20
# Ir2PtRh4

A relaxed Ir2PtRh4 crystal (GGA-PBE, Alexandria).

Cell and atoms, written as POSCAR:
```
Ir2PtRh4
1.0
3.696 0.000 0.000
-1.848 6.177 0.000
0.000 0.000 10.647
Ir Pt Rh
4 2 8
Cartesian
0.000 1.724 4.661
1.848 4.454 9.985
0.000 1.724 0.662
1.848 4.454 5.985
1.848 1.448 7.985
0.000 4.730 2.662
1.848 3.201 1.380
1.848 3.201 3.943
0.000 2.976 9.267
0.000 2.976 6.704
1.848 5.891 7.985
0.000 0.286 2.662
1.848 0.000 0.000
1.848 0.000 5.323
```

V: 243 Å³ per cell
final energy: -6.8380 eV/atom
offset from the most stable computed form: 444 meV/atom
formation energy: 757 meV/atom
total magnetization: 0.0 μB/cell